(1)
DFT (GGA-PBE) results for an optimized crystal structure of CaZrCr2.

```
data_CaZrCr2
_space_group_name_H-M_alt 'I m m 2'
_space_group_IT_number 44
_space_group_name_Hall 'I 2 -2'
_cell_length_a 3.234
_cell_length_b 4.750
_cell_length_c 10.308
_cell_angle_alpha 90.00
_cell_angle_beta 90.00
_cell_angle_gamma 90.00
loop_
_atom_site_label
_atom_site_fract_x
_atom_site_fract_y
_atom_site_fract_z
Ca1 0.000 0.000 0.000
Zr1 0.000 0.500 0.223
Cr1 0.000 0.000 0.413
Cr2 0.000 0.500 0.762
```

Computed properties:
For the formation energy, the calculation gives 497 meV/atom. For the volume, the calculation gives 19.79 Å³/atom. Its calculated density is 4.93 g cm⁻³. The total magnetization is 0.05 μB per atom.

---

(2)
DFT (GGA-PBE) results for an optimized crystal structure of Ca2ZrCr.

```
data_Ca2ZrCr
_space_group_name_H-M_alt 'F -4 3 m'
_space_group_IT_number 216
_space_group_name_Hall 'F -4 2 3'
_cell_length_a 7.473
_cell_length_b 7.473
_cell_length_c 7.473
_cell_angle_alpha 90.00
_cell_angle_beta 90.00
_cell_angle_gamma 90.00
loop_
_atom_site_label
_atom_site_fract_x
_atom_site_fract_y
_atom_site_fract_z
Ca1 0.000 0.000 0.000
Ca2 0.250 0.250 0.250
Zr1 0.250 0.250 0.750
Cr1 0.000 0.000 0.500
```

Computed properties:
The value obtained for the energy relative to the lowest polymorph listed for this composition is 93.0 kJ/mol of formula units. For the formation energy, the calculation gives 574 meV/atom. For the volume, the calculation gives 26.09 Å³/atom. Its calculated density is 3.55 g cm⁻³. The total magnetization is 0.89 μB per atom.

---

(3)
DFT (GGA-PBE) results for an optimized crystal structure of CaZrCr2.

```
data_CaZrCr2
_space_group_name_H-M_alt 'R -3 m'
_space_group_IT_number 166
_space_group_name_Hall '-R 3 2"'
_cell_length_a 3.2505
_cell_length_b 3.2505
_cell_length_c 28.6444
_cell_angle_alpha 90.00
_cell_angle_beta 90.00
_cell_angle_gamma 120.00
loop_
_atom_site_label
_atom_site_fract_x
_atom_site_fract_y
_atom_site_fract_z
Ca1 0.0000 0.0000 0.0000
Zr1 0.0000 0.0000 0.5000
Cr1 0.0000 0.0000 0.2422
```

Computed properties:
For the formation energy, the calculation gives 743 meV/atom. For the volume, the calculation gives 21.84 Å³/atom. Its calculated density is 4.47 g cm⁻³. The total magnetization is 1.65 μB per atom.

---

(4)
DFT (GGA-PBE) results for an optimized crystal structure of CaZrCr2.

```
data_CaZrCr2
_space_group_name_H-M_alt 'C 1 2/m 1'
_space_group_IT_number 12
_space_group_name_Hall '-C 2y'
_cell_length_a 9.495
_cell_length_b 3.129
_cell_length_c 6.120
_cell_angle_alpha 90.00
_cell_angle_beta 97.13
_cell_angle_gamma 90.00
loop_
_atom_site_label
_atom_site_fract_x
_atom_site_fract_y
_atom_site_fract_z
Ca1 0.000 0.000 0.000
Zr1 0.000 0.500 0.500
Cr1 0.248 0.000 0.628
```

Computed properties:
For the formation energy, the calculation gives 675 meV/atom. For the volume, the calculation gives 22.55 Å³/atom. Its calculated density is 4.33 g cm⁻³. The total magnetization is 0.00 μB per atom.

---

(5)
DFT (GGA-PBE) results for an optimized crystal structure of Ca2Zr2Cr.

```
data_Ca2Zr2Cr
_space_group_name_H-M_alt 'P 4/m b m'
_space_group_IT_number 127
_space_group_name_Hall '-P 4 2ab'
_cell_length_a 7.117
_cell_length_b 7.117
_cell_length_c 5.212
_cell_angle_alpha 90.00
_cell_angle_beta 90.00
_cell_angle_gamma 90.00
loop_
_atom_site_label
_atom_site_fract_x
_atom_site_fract_y
_atom_site_fract_z
Ca1 0.146 0.354 0.000
Zr1 0.162 0.662 0.500
Cr1 0.000 0.000 0.000
```

Computed properties:
For the formation energy, the calculation gives 968 meV/atom. For the volume, the calculation gives 26.40 Å³/atom. Its calculated density is 3.96 g cm⁻³. The total magnetization is 0.74 μB per atom.

---

(6)
DFT (GGA-PBE) results for an optimized crystal structure of CaZrCr2.

```
data_CaZrCr2
_space_group_name_H-M_alt 'I -4 m 2'
_space_group_IT_number 119
_space_group_name_Hall 'I -4 -2'
_cell_length_a 4.861
_cell_length_b 4.861
_cell_length_c 6.861
_cell_angle_alpha 90.00
_cell_angle_beta 90.00
_cell_angle_gamma 90.00
loop_
_atom_site_label
_atom_site_fract_x
_atom_site_fract_y
_atom_site_fract_z
Ca1 0.000 0.000 0.000
Zr1 0.000 0.500 0.250
Cr1 0.000 0.000 0.500
Cr2 0.000 0.500 0.750
```

Computed properties:
For the formation energy, the calculation gives 673 meV/atom. For the volume, the calculation gives 20.26 Å³/atom. Its calculated density is 4.82 g cm⁻³. The total magnetization is 0.03 μB per atom.

---

(7)
DFT (GGA-PBE) results for an optimized crystal structure of Ca2ZrCr.

```
data_Ca2ZrCr
_space_group_name_H-M_alt 'P m m m'
_space_group_IT_number 47
_space_group_name_Hall '-P 2 2'
_cell_length_a 3.292
_cell_length_b 5.064
_cell_length_c 6.511
_cell_angle_alpha 90.00
_cell_angle_beta 90.00
_cell_angle_gamma 90.00
loop_
_atom_site_label
_atom_site_fract_x
_atom_site_fract_y
_atom_site_fract_z
Ca1 0.000 0.000 0.245
Zr1 0.500 0.500 0.500
Cr1 0.500 0.500 0.000
```

Computed properties:
The value obtained for the energy relative to the lowest polymorph listed for this composition is 116.5 kJ/mol of formula units. For the formation energy, the calculation gives 635 meV/atom. For the volume, the calculation gives 27.13 Å³/atom. Its calculated density is 3.42 g cm⁻³. The total magnetization is 0.82 μB per atom.

---

(8)
DFT (GGA-PBE) results for an optimized crystal structure of Ca2ZrCr.

```
data_Ca2ZrCr
_space_group_name_H-M_alt 'C m m m'
_space_group_IT_number 65
_space_group_name_Hall '-C 2 2'
_cell_length_a 6.551
_cell_length_b 10.148
_cell_length_c 3.294
_cell_angle_alpha 90.00
_cell_angle_beta 90.00
_cell_angle_gamma 90.00
loop_
_atom_site_label
_atom_site_fract_x
_atom_site_fract_y
_atom_site_fract_z
Ca1 0.250 0.250 0.000
Zr1 0.000 0.000 0.500
Cr1 0.000 0.500 0.500
```

Computed properties:
The value obtained for the energy relative to the lowest polymorph listed for this composition is 117.0 kJ/mol of formula units. For the formation energy, the calculation gives 636 meV/atom. For the volume, the calculation gives 27.37 Å³/atom. Its calculated density is 3.39 g cm⁻³. The total magnetization is 0.70 μB per atom.

---

(9)
DFT (GGA-PBE) results for an optimized crystal structure of Ca2ZrCr.

```
data_Ca2ZrCr
_space_group_name_H-M_alt 'F m -3 m'
_space_group_IT_number 225
_space_group_name_Hall '-F 4 2 3'
_cell_length_a 7.362
_cell_length_b 7.362
_cell_length_c 7.362
_cell_angle_alpha 90.00
_cell_angle_beta 90.00
_cell_angle_gamma 90.00
loop_
_atom_site_label
_atom_site_fract_x
_atom_site_fract_y
_atom_site_fract_z
Ca1 0.250 0.250 0.250
Zr1 0.000 0.000 0.000
Cr1 0.000 0.000 0.500
```

Computed properties:
The value obtained for the energy relative to the lowest polymorph listed for this composition is 308.4 kJ/mol of formula units. For the formation energy, the calculation gives 1132 meV/atom. For the volume, the calculation gives 24.94 Å³/atom. Its calculated density is 3.72 g cm⁻³. The total magnetization is 0.02 μB per atom.

---

(10)
DFT (GGA-PBE) results for an optimized crystal structure of CaZrCr2.

```
data_CaZrCr2
_space_group_name_H-M_alt 'P 4 m m'
_space_group_IT_number 99
_space_group_name_Hall 'P 4 -2'
_cell_length_a 3.100
_cell_length_b 3.100
_cell_length_c 8.463
_cell_angle_alpha 90.00
_cell_angle_beta 90.00
_cell_angle_gamma 90.00
loop_
_atom_site_label
_atom_site_fract_x
_atom_site_fract_y
_atom_site_fract_z
Ca1 0.000 0.000 0.000
Zr1 0.500 0.500 0.639
Cr1 0.000 0.000 0.420
Cr2 0.500 0.500 0.281
```

Computed properties:
For the formation energy, the calculation gives 358 meV/atom. For the volume, the calculation gives 20.33 Å³/atom. Its calculated density is 4.80 g cm⁻³. The total magnetization is 0.44 μB per atom.

---

(11)
DFT (GGA-PBE) results for an optimized crystal structure of CaZrCr2.

```
data_CaZrCr2
_space_group_name_H-M_alt 'I 41/a m d'
_space_group_IT_number 141
_cell_length_a 4.690
_cell_length_b 4.690
_cell_length_c 18.124
_cell_angle_alpha 90.00
_cell_angle_beta 90.00
_cell_angle_gamma 90.00
loop_
_space_group_symop_operation_xyz
'x,y,z'
'-x,-y,-z'
'-y+1/4,x+3/4,z+1/4'
'y+1/4,-x+3/4,-z+1/4'
'-x+1/2,-y,z+1/2'
'x+1/2,y,-z+1/2'
'y+1/4,-x+1/4,z+3/4'
'-y+1/4,x+1/4,-z+3/4'
'x,-y,-z'
'-x,y,z'
'-y+1/4,-x+1/4,-z+3/4'
'y+1/4,x+1/4,z+3/4'
'-x+1/2,y,-z+1/2'
'x+1/2,-y,z+1/2'
'y+1/4,x+3/4,-z+1/4'
'-y+1/4,-x+3/4,z+1/4'
'x+1/2,y+1/2,z+1/2'
'-x+1/2,-y+1/2,-z+1/2'
'-y+3/4,x+1/4,z+3/4'
'y+3/4,-x+1/4,-z+3/4'
'-x,-y+1/2,z'
'x,y+1/2,-z'
'y+3/4,-x+3/4,z+1/4'
'-y+3/4,x+3/4,-z+1/4'
'x+1/2,-y+1/2,-z+1/2'
'-x+1/2,y+1/2,z+1/2'
'-y+3/4,-x+3/4,-z+1/4'
'y+3/4,x+3/4,z+1/4'
'-x,y+1/2,-z'
'x,-y+1/2,z'
'y+3/4,x+1/4,-z+3/4'
'-y+3/4,-x+1/4,z+3/4'
loop_
_atom_site_label
_atom_site_fract_x
_atom_site_fract_y
_atom_site_fract_z
Ca1 0.000 0.250 0.375
Zr1 0.000 0.250 0.875
Cr1 0.000 0.000 0.000
```

Computed properties:
For the formation energy, the calculation gives 1173 meV/atom. For the volume, the calculation gives 24.92 Å³/atom. Its calculated density is 3.92 g cm⁻³. The total magnetization is 0.91 μB per atom.

---

(12)
DFT (GGA-PBE) results for an optimized crystal structure of Ca4ZrCr.

```
data_Ca4ZrCr
_space_group_name_H-M_alt 'F -4 3 m'
_space_group_IT_number 216
_space_group_name_Hall 'F -4 2 3'
_cell_length_a 9.296
_cell_length_b 9.296
_cell_length_c 9.296
_cell_angle_alpha 90.00
_cell_angle_beta 90.00
_cell_angle_gamma 90.00
loop_
_atom_site_label
_atom_site_fract_x
_atom_site_fract_y
_atom_site_fract_z
Ca1 0.124 0.124 0.376
Zr1 0.250 0.250 0.750
Cr1 0.000 0.000 0.000
```

Computed properties:
For the formation energy, the calculation gives 902 meV/atom. For the volume, the calculation gives 33.47 Å³/atom. Its calculated density is 2.51 g cm⁻³. The total magnetization is 1.25 μB per atom.